Below is crystalline Cs2MnReO6 at its relaxed geometry, with properties calculated at the PBE+U level.

Cell and atoms, written as POSCAR:
```
Cs2MnReO6
1.0
-0.7580 2.8599 3.9683
-6.2352 -2.0765 0.3056
4.7122 -3.2503 3.2425
Cs O Re Mn
2 6 1 1
Direct
0.7301 0.6667 0.3333
0.2699 0.3333 0.6667
0.7589 0.1327 0.2654
0.7589 0.1327 0.8673
0.2411 0.8673 0.1327
0.7589 0.7346 0.8673
0.2411 0.8673 0.7346
0.2411 0.2654 0.1327
0.0000 0.0000 0.0000
0.5000 0.0000 0.0000
```

* E_tot: -6.678 eV/atom